A plane-wave DFT calculation with PBE was carried out for ReOsRh2 after structural relaxation.

Calculated values
relative energy among the computed polymorphs: 0.080 eV per atom
density of states at the Fermi level: 10.17 states/eV per cell
space group: C2/c, No. 15
total moment: 0.00 μB per formula unit
final energy: -76.59 eV for the cell shown
formation energy: 0.0212 eV per atom

abc: 9.0968 5.4730 5.4730
angles: 59.66 40.83 40.83
Sites, in units of the cell vectors:
Re1 0.2500 0.6189 0.3811
Re2 0.7500 0.3811 0.6189
Os1 0.2500 0.1190 0.8810
Os2 0.7500 0.8810 0.1190
Rh1 0.7488 0.3775 0.1242
Rh2 0.7512 0.8759 0.6225
Rh3 0.2512 0.6225 0.8758
Rh4 0.2488 0.1241 0.3775